# PBE-GGA Dy7Rh2Pb2, optimized geometry
data_Dy7Rh2Pb2
_chemical_formula_sum 'Dy14 Rh4 Pb4'
_space_group_name_H-M_alt 'C m m m'
_space_group_IT_number 65
_space_group_name_Hall '-C 2 2'
_cell_length_a 8.257
_cell_length_b 10.911
_cell_length_c 7.194
_cell_angle_alpha 90.00
_cell_angle_beta 90.00
_cell_angle_gamma 90.00
loop_
_atom_site_label
_atom_site_fract_x
_atom_site_fract_y
_atom_site_fract_z
Dy1 0.000 0.000 0.000
Dy2 0.000 0.500 0.231
Dy3 0.250 0.250 0.243
Rh1 0.000 0.284 0.000
Pb1 0.189 0.000 0.500
# **DOS(E_F)**: 17.013 states/eV/cell
# **ΔH_f (0 K)**: -0.43 eV per atom
# **Density**: 9.01 g cm⁻³